(1)
{
  "formula": "BaWBr",
  "functional": "PBEsol",
  "state": "relaxed",
  "de_polymorph_ev_per_atom": 0.587,
  "sg": "No. 216",
  "cell": [[0.0000, 3.8255, 3.8255], [3.8255, 0.0000, 3.8255], [3.8255, 3.8255, 0.0000]],
  "species": ["Ba", "W", "Br"],
  "fractional_positions": [[0.0000, 0.0000, 0.0000], [0.2500, 0.2500, 0.2500], [0.5000, 0.5000, 0.5000]]
}

(2)
{
  "formula": "BaW2Br",
  "functional": "PBEsol",
  "state": "relaxed",
  "de_polymorph_ev_per_atom": 0.000,
  "sg": "No. 8",
  "cell": [[2.9844, -1.6870, 0.0000], [2.9844, 1.6870, 0.0000], [-2.7968, 0.0000, 9.4426]],
  "species": ["Ba", "W", "W", "Br"],
  "fractional_positions": [[0.0000, 0.0000, 0.0000], [0.1911, 0.1911, 0.6846], [0.4424, 0.4424, 0.5211], [0.8001, 0.8001, 0.2782]]
}

(3)
{
  "formula": "BaW2Br",
  "functional": "PBEsol",
  "state": "relaxed",
  "de_polymorph_ev_per_atom": 1.575,
  "sg": "No. 225",
  "cell": [[0.0000, 3.3991, 3.3991], [3.3991, 0.0000, 3.3991], [3.3991, 3.3991, 0.0000]],
  "species": ["Ba", "W", "W", "Br"],
  "fractional_positions": [[0.0000, 0.0000, 0.0000], [0.2500, 0.2500, 0.2500], [0.7500, 0.7500, 0.7500], [0.5000, 0.5000, 0.5000]]
}

(4)
{
  "formula": "Ba2WBr",
  "functional": "PBEsol",
  "state": "relaxed",
  "dft_energy_ev_per_atom": -4.609,
  "sg": "No. 12",
  "cell": [[3.9019, -1.9208, 0.0000], [3.9019, 1.9208, 0.0000], [-1.8373, 0.0000, 9.0447]],
  "species": ["Ba", "Ba", "W", "Br"],
  "fractional_positions": [[0.2492, 0.2492, 0.2373], [0.7508, 0.7508, 0.7627], [0.5000, 0.5000, 0.0000], [0.0000, 0.0000, 0.5000]]
}

(5)
{
  "formula": "Ba2YBr",
  "functional": "PBEsol",
  "state": "relaxed",
  "de_polymorph_ev_per_atom": 0.047,
  "sg": "No. 25",
  "cell": [[3.8861, 0.0000, 0.0000], [0.0000, 5.7036, 0.0000], [0.0000, 0.0000, 7.0550]],
  "species": ["Ba", "Ba", "Y", "Br"],
  "fractional_positions": [[0.0000, 0.0000, 0.0000], [0.5000, 0.5000, 0.4326], [0.5000, 0.5000, 0.9265], [0.0000, 0.0000, 0.4668]]
}

(6)
{
  "formula": "BaY2Br",
  "functional": "PBEsol",
  "state": "relaxed",
  "de_polymorph_ev_per_atom": 0.483,
  "sg": "No. 216",
  "cell": [[0.0000, 4.0357, 4.0357], [4.0357, 0.0000, 4.0357], [4.0357, 4.0357, 0.0000]],
  "species": ["Ba", "Y", "Y", "Br"],
  "fractional_positions": [[0.0000, 0.0000, 0.0000], [0.2500, 0.2500, 0.2500], [0.5000, 0.5000, 0.5000], [0.7500, 0.7500, 0.7500]]
}